ReSeBr3: relaxed, GGA-PBE.

Values from the calculation:
Space group: P2/c (13)
DFT total energy in eV/f.u.: -21.632
M_tot in μB per atom: 0.002

Cell lengths 6.547, 6.862, 12.579 Å; angles 90.00, 100.50, 90.00 degrees
Fractional positions:
Re  0.060  0.111  0.152
Re  0.060  0.889  0.652
Re  0.940  0.111  0.348
Re  0.940  0.889  0.848
Se  0.172  0.372  0.295
Se  0.172  0.628  0.795
Se  0.828  0.372  0.205
Se  0.828  0.628  0.705
Br  0.142  0.193  0.543
Br  0.142  0.807  0.043
Br  0.254  0.088  0.808
Br  0.254  0.912  0.308
Br  0.357  0.283  0.078
Br  0.357  0.717  0.578
Br  0.643  0.283  0.422
Br  0.643  0.717  0.922
Br  0.746  0.088  0.692
Br  0.746  0.912  0.192
Br  0.858  0.193  0.957
Br  0.858  0.807  0.457


Re3Se7Br7: relaxed, GGA-PBE.

Values from the calculation:
Space group: P31c (159)
DFT total energy in eV/f.u.: -78.552
M_tot in μB per atom: 0.000

Cell lengths 9.630, 9.630, 24.030 Å; angles 90.00, 90.00, 120.00 degrees
Fractional positions:
Re  0.027  0.850  0.000
Re  0.150  0.177  0.000
Re  0.155  0.519  0.236
Re  0.177  0.150  0.500
Re  0.364  0.845  0.236
Re  0.481  0.636  0.236
Re  0.519  0.155  0.736
Re  0.636  0.481  0.736
Re  0.823  0.973  0.000
Re  0.845  0.364  0.736
Re  0.850  0.027  0.500
Re  0.973  0.823  0.500
Se  0.000  0.000  0.079
Se  0.000  0.000  0.579
Se  0.033  0.213  0.425
Se  0.051  0.331  0.513
Se  0.057  0.724  0.222
Se  0.155  0.703  0.310
Se  0.180  0.967  0.425
Se  0.213  0.033  0.925
Se  0.276  0.333  0.222
Se  0.281  0.949  0.513
Se  0.297  0.452  0.310
Se  0.331  0.051  0.013
Se  0.333  0.276  0.722
Se  0.333  0.667  0.156
Se  0.452  0.297  0.810
Se  0.548  0.845  0.310
Se  0.667  0.333  0.656
Se  0.667  0.943  0.222
Se  0.669  0.719  0.513
Se  0.703  0.155  0.810
Se  0.719  0.669  0.013
Se  0.724  0.057  0.722
Se  0.787  0.820  0.425
Se  0.820  0.787  0.925
Se  0.845  0.548  0.810
Se  0.943  0.667  0.722
Se  0.949  0.281  0.013
Se  0.967  0.180  0.925
Br  0.000  0.000  0.334
Br  0.000  0.000  0.834
Br  0.037  0.677  0.081
Br  0.043  0.389  0.658
Br  0.084  0.652  0.945
Br  0.098  0.421  0.794
Br  0.323  0.360  0.081
Br  0.324  0.902  0.794
Br  0.333  0.667  0.401
Br  0.346  0.957  0.658
Br  0.348  0.432  0.945
Br  0.360  0.323  0.581
Br  0.389  0.043  0.158
Br  0.421  0.098  0.294
Br  0.432  0.348  0.445
Br  0.568  0.916  0.945
Br  0.579  0.676  0.794
Br  0.611  0.654  0.658
Br  0.640  0.963  0.081
Br  0.652  0.084  0.445
Br  0.654  0.611  0.158
Br  0.667  0.333  0.901
Br  0.676  0.579  0.294
Br  0.677  0.037  0.581
Br  0.902  0.324  0.294
Br  0.916  0.568  0.445
Br  0.957  0.346  0.158
Br  0.963  0.640  0.581


Re3Se4Br: relaxed, GGA-PBE.

Values from the calculation:
Space group: P2_1/c (14)
DFT total energy in eV/f.u.: -56.471
M_tot in μB per atom: 0.000

Cell lengths 6.637, 11.975, 11.249 Å; angles 90.00, 114.93, 90.00 degrees
Fractional positions:
Re  0.029  0.142  0.439
Re  0.029  0.358  0.939
Re  0.037  0.066  0.659
Re  0.037  0.434  0.159
Re  0.304  0.520  0.063
Re  0.304  0.980  0.563
Re  0.696  0.020  0.437
Re  0.696  0.480  0.937
Re  0.963  0.566  0.841
Re  0.963  0.934  0.341
Re  0.971  0.642  0.061
Re  0.971  0.858  0.561
Se  0.234  0.716  0.972
Se  0.234  0.784  0.472
Se  0.265  0.060  0.332
Se  0.265  0.440  0.832
Se  0.303  0.591  0.274
Se  0.303  0.909  0.774
Se  0.359  0.175  0.657
Se  0.359  0.325  0.157
Se  0.641  0.675  0.843
Se  0.641  0.825  0.343
Se  0.697  0.091  0.226
Se  0.697  0.409  0.726
Se  0.735  0.560  0.168
Se  0.735  0.940  0.668
Se  0.766  0.216  0.528
Se  0.766  0.284  0.028
Br  0.096  0.148  0.888
Br  0.096  0.352  0.388
Br  0.904  0.648  0.612
Br  0.904  0.852  0.112


Re3Se4Br: relaxed, GGA-PBE.

Values from the calculation:
Space group: P-1 (2)
DFT total energy in eV/f.u.: -56.319
M_tot in μB per atom: 0.000

Cell lengths 6.663, 6.722, 9.201 Å; angles 77.57, 71.32, 86.10 degrees
Fractional positions:
Re  0.106  0.246  0.464
Re  0.151  0.624  0.292
Re  0.229  0.539  0.566
Re  0.771  0.461  0.434
Re  0.849  0.376  0.708
Re  0.894  0.754  0.536
Se  0.031  0.335  0.204
Se  0.178  0.178  0.725
Se  0.281  0.896  0.397
Se  0.470  0.403  0.317
Se  0.530  0.597  0.683
Se  0.719  0.104  0.603
Se  0.822  0.822  0.275
Se  0.969  0.665  0.796
Br  0.350  0.787  0.013
Br  0.650  0.213  0.987